Entry from OQMD via LeMat-Bulk: a relaxed AgP crystal (PBE-GGA).

Output
SG = No. 216
energy = -3.523 eV/atom
crystal system = cubic
offset from the most stable computed form = 418.1 meV per atom

Cell lengths 3.9871, 3.9871, 3.9871 Å; angles 60.00, 60.00, 60.00 degrees
Fractional positions:
Ag 0.0000 0.0000 0.0000
P 0.2500 0.2500 0.2500



Entry from OQMD via LeMat-Bulk: a relaxed AgP8 crystal (PBE-GGA).

Output
SG = No. 191
energy = -4.471 eV/atom
crystal system = hexagonal

Cell lengths 7.9754, 7.9754, 3.4810 Å; angles 90.00, 90.00, 120.00 degrees
Fractional positions:
Ag 0.0000 0.0000 0.5000
P 0.3451 0.1725 0.0000
P 0.8275 0.1725 0.0000
P 0.6667 0.3333 0.0000
P 0.1725 0.3451 0.0000
P 0.8275 0.6549 0.0000
P 0.3333 0.6667 0.0000
P 0.1725 0.8275 0.0000
P 0.6549 0.8275 0.0000



Entry from OQMD via LeMat-Bulk: a relaxed AgP crystal (PBE-GGA).

Output
SG = No. 194
energy = -3.791 eV/atom
crystal system = hexagonal
offset from the most stable computed form = 149.7 meV per atom

Cell lengths 4.1329, 4.1329, 4.9525 Å; angles 90.00, 90.00, 120.00 degrees
Fractional positions:
Ag 0.6667 0.3333 0.2500
Ag 0.3333 0.6667 0.7500
P 0.0000 0.0000 0.0000
P 0.0000 0.0000 0.5000



Entry from OQMD via LeMat-Bulk: a relaxed AgP crystal (PBE-GGA).

Output
SG = No. 51
energy = -3.941 eV/atom
crystal system = orthorhombic
offset from the most stable computed form = 0.0 meV per atom

Cell lengths 5.3299, 3.2123, 8.5338 Å; angles 90.00, 90.00, 90.00 degrees
Fractional positions:
Ag 0.7500 0.0000 0.2627
Ag 0.0000 0.5000 0.5000
Ag 0.5000 0.5000 0.5000
Ag 0.2500 0.0000 0.7373
P 0.2500 0.5000 0.0166
P 0.2500 0.0000 0.1944
P 0.7500 0.0000 0.8056
P 0.7500 0.5000 0.9834



Entry from OQMD via LeMat-Bulk: a relaxed Ag2P2Pd crystal (PBE-GGA).

Output
SG = No. 164
energy = -4.184 eV/atom
crystal system = trigonal

Cell lengths 4.0194, 4.0194, 6.2717 Å; angles 90.00, 90.00, 120.00 degrees
Fractional positions:
Ag 0.6667 0.3333 0.3690
Ag 0.3333 0.6667 0.6310
P 0.3333 0.6667 0.1715
P 0.6667 0.3333 0.8285
Pd 0.0000 0.0000 0.0000



Entry from OQMD via LeMat-Bulk: a relaxed AgP5Pd3 crystal (PBE-GGA).

Output
SG = No. 191
energy = -4.838 eV/atom
crystal system = hexagonal

Cell lengths 5.6987, 5.6987, 5.5010 Å; angles 90.00, 90.00, 120.00 degrees
Fractional positions:
Ag 0.0000 0.0000 0.0000
P 0.6667 0.3333 0.1846
P 0.3333 0.6667 0.1846
P 0.0000 0.0000 0.5000
P 0.6667 0.3333 0.8154
P 0.3333 0.6667 0.8154
Pd 0.5000 0.0000 0.5000
Pd 0.0000 0.5000 0.5000
Pd 0.5000 0.5000 0.5000



Entry from OQMD via LeMat-Bulk: a relaxed AgP5Pt3 crystal (PBE-GGA).

Output
SG = No. 191
energy = -5.291 eV/atom
crystal system = hexagonal

Cell lengths 6.5941, 6.5941, 4.8922 Å; angles 90.00, 90.00, 120.00 degrees
Fractional positions:
Ag 0.0000 0.0000 0.0000
P 0.6667 0.3333 0.2170
P 0.3333 0.6667 0.2170
P 0.0000 0.0000 0.5000
P 0.6667 0.3333 0.7830
P 0.3333 0.6667 0.7830
Pt 0.5000 0.0000 0.5000
Pt 0.0000 0.5000 0.5000
Pt 0.5000 0.5000 0.5000



Entry from OQMD via LeMat-Bulk: a relaxed RbAg4P2 crystal (PBE-GGA).

Output
SG = No. 166
energy = -3.328 eV/atom
crystal system = trigonal

Cell lengths 9.6259, 9.6259, 9.6259 Å; angles 26.59, 26.59, 26.59 degrees
Fractional positions:
Ag 0.1452 0.1452 0.1452
Ag 0.4309 0.4309 0.4309
Ag 0.5691 0.5691 0.5691
Ag 0.8548 0.8548 0.8548
P 0.2414 0.2414 0.2414
P 0.7586 0.7586 0.7586
Rb 0.0000 0.0000 0.0000